Entry 1:
The following is a DFT calculation (PBE-GGA) of crystalline Gd3Mg3Al2In at its relaxed geometry.

Properties
Energy   -0.2613 Ry/atom
Total moment   0.0021 μB/atom
Mass density   5.33 g/cm3
Calculated volume   222 Å³ per cell

The structure in extended XYZ format:
```
9
Lattice="7.456 0.000 0.000 -3.728 6.457 0.000 0.000 0.000 4.620" Properties=species:S:1:pos:R:3 pbc="T T T"
Al 3.728 2.152 2.310
Al 0.000 4.305 2.310
Gd 4.202 0.000 0.000
Gd 1.627 2.818 0.000
Gd -2.101 3.639 0.000
In 0.000 0.000 0.000
Mg 1.838 0.000 2.310
Mg -0.919 1.592 2.310
Mg 2.809 4.865 2.310
```



Entry 2:
The following is a DFT calculation (PBE-GGA) of crystalline GdScPO at its relaxed geometry.

Properties
Energy   -0.5161 Ry/atom
Total moment   0.0706 μB/atom
Mass density   4.86 g/cm3
Calculated volume   170 Å³ per cell

The structure in extended XYZ format:
```
8
Lattice="-4.205 -0.149 1.422 1.229 -2.635 3.357 1.420 6.940 4.926" Properties=species:S:1:pos:R:3 pbc="T T T"
Gd 0.710 3.470 2.463
Gd -0.778 2.078 4.853
O 0.000 0.000 0.000
O -1.488 -1.392 2.390
P -1.653 2.122 2.270
P 1.585 3.426 5.046
Sc -2.073 0.068 0.812
Sc 2.006 5.480 6.504
```



Entry 3:
The following is a DFT calculation (PBE-GGA) of crystalline Y2HoZn3AgAu2 at its relaxed geometry.

Properties
Total moment   0.0016 μB/atom
Energy of formation from the pure elements   -0.586 eV/atom
Mass density   9.17 g/cm3
Calculated volume   189 Å³ per cell

The structure in extended XYZ format:
```
9
Lattice="-1.701 -1.750 -2.959 1.702 -6.703 2.986 -6.511 3.359 1.756" Properties=species:S:1:pos:R:3 pbc="T T T"
Ag -4.800 -3.339 4.733
Au -1.898 -4.216 1.098
Au -4.618 -0.883 0.691
Ho -2.859 -1.989 2.820
Y 0.689 -2.721 1.213
Y -2.644 1.362 0.714
Zn 0.412 -5.845 0.735
Zn -2.091 -1.738 -0.256
Zn -5.678 1.615 -0.178
```



Entry 4:
The following is a DFT calculation (PBE-GGA) of crystalline LiTlSiNi at its relaxed geometry.

Properties
Energy   -0.2770 Ry/atom
Total moment   0.0001 μB/atom
Mass density   8.11 g/cm3
Calculated volume   61 Å³ per cell

The structure in extended XYZ format:
```
4
Lattice="0.000 3.125 3.125 3.125 0.000 3.125 3.125 3.125 0.000" Properties=species:S:1:pos:R:3 pbc="T T T"
Li 4.688 4.688 4.688
Ni 1.563 1.563 1.563
Si 0.000 0.000 0.000
Tl 3.125 3.125 3.125
```



Entry 5:
The following is a DFT calculation (PBE-GGA) of crystalline HoCo2Se2 at its relaxed geometry.

Properties
Energy   -0.4169 Ry/atom
Total moment   0.1482 μB/atom
Mass density   8.97 g/cm3
Calculated volume   163 Å³ per cell

The structure in extended XYZ format:
```
10
Lattice="-3.404 -9.380 0.439 -5.496 -6.579 5.125 2.084 8.766 -4.309" Properties=species:S:1:pos:R:3 pbc="T T T"
Co -1.717 -3.078 1.073
Co -7.183 -12.880 4.491
Co -0.660 -0.307 -1.935
Co -1.706 1.094 0.408
Ho -3.388 -6.076 2.118
Ho -5.511 -9.883 3.446
Se -0.665 -1.193 0.416
Se -8.235 -14.765 5.148
Se -2.885 -4.296 -0.544
Se -3.931 -2.896 1.799
```



Entry 6:
The following is a DFT calculation (PBE-GGA) of crystalline ZrI at its relaxed geometry.

Properties
Energy   -0.3414 Ry/atom
Total moment   0.0029 μB/atom
Mass density   6.96 g/cm3
Calculated volume   52 Å³ per cell

The structure in extended XYZ format:
```
2
Lattice="-3.355 2.109 1.363 -1.400 3.320 -2.141 -3.619 -0.236 -2.101" Properties=species:S:1:pos:R:3 pbc="T T T"
I 0.000 0.000 0.000
Zr -4.187 2.597 -1.439
```



Please write out number 4 again, unchanged.
The following is a DFT calculation (PBE-GGA) of crystalline LiTlSiNi at its relaxed geometry.

Properties
Energy   -0.2770 Ry/atom
Total moment   0.0001 μB/atom
Mass density   8.11 g/cm3
Calculated volume   61 Å³ per cell

The structure in extended XYZ format:
```
4
Lattice="0.000 3.125 3.125 3.125 0.000 3.125 3.125 3.125 0.000" Properties=species:S:1:pos:R:3 pbc="T T T"
Li 4.688 4.688 4.688
Ni 1.563 1.563 1.563
Si 0.000 0.000 0.000
Tl 3.125 3.125 3.125
```



What is the mass density in the fifth record? 8.97 g/cm3



Among the records above, which one has the highest total moment? HoCo2Se2